AcDyMgGe after structural relaxation, computed with PBE.

Summary:
E_tot	-4.01	eV per atom
symmetry	F-43m
spin magnetization	0.00	μB per formula unit
ΔE_f	-275.6	meV/atom

```
data_AcDyMgGe
_space_group_name_H-M_alt 'P 1'
_space_group_IT_number 1
_space_group_name_Hall 'P 1'
_cell_length_a 5.397
_cell_length_b 5.397
_cell_length_c 5.397
_cell_angle_alpha 60.00
_cell_angle_beta 60.00
_cell_angle_gamma 60.00
loop_
_atom_site_label
_atom_site_type_symbol
_atom_site_fract_x
_atom_site_fract_y
_atom_site_fract_z
_atom_site_occupancy
Ac1 Ac 0.000 0.000 0.000 1
Dy1 Dy 0.500 0.500 0.500 1
Mg1 Mg 0.750 0.750 0.750 1
Ge1 Ge 0.250 0.250 0.250 1
```

Pa2MnBe4Ge3 after structural relaxation, computed with PBE.

Summary:
E_tot	-5.91	eV per atom
symmetry	P-4m2
spin magnetization	1.66	μB per formula unit
ΔE_f	-220.6	meV/atom

```
data_Pa2MnBe4Ge3
_space_group_name_H-M_alt 'P 1'
_space_group_IT_number 1
_space_group_name_Hall 'P 1'
_cell_length_a 3.905
_cell_length_b 3.905
_cell_length_c 9.798
_cell_angle_alpha 90.00
_cell_angle_beta 90.00
_cell_angle_gamma 90.00
loop_
_atom_site_label
_atom_site_type_symbol
_atom_site_fract_x
_atom_site_fract_y
_atom_site_fract_z
_atom_site_occupancy
Pa1 Pa 0.000 0.500 0.245 1
Pa2 Pa 0.500 0.000 0.755 1
Mn1 Mn 0.500 0.500 0.000 1
Be1 Be 0.000 0.000 0.500 1
Be2 Be 0.000 0.500 0.868 1
Be3 Be 0.500 0.000 0.132 1
Be4 Be 0.500 0.500 0.500 1
Ge1 Ge 0.000 0.000 0.000 1
Ge2 Ge 0.000 0.500 0.632 1
Ge3 Ge 0.500 0.000 0.368 1
```

TaRe2Mo after structural relaxation, computed with PBE.

Summary:
E_tot	-11.71	eV per atom
symmetry	R-3m
polymorph energy (0 for the lowest one)	339	meV per atom
spin magnetization	0.00	μB per formula unit
ΔE_f	187.1	meV/atom

```
data_TaRe2Mo
_space_group_name_H-M_alt 'P 1'
_space_group_IT_number 1
_space_group_name_Hall 'P 1'
_cell_length_a 9.430
_cell_length_b 9.430
_cell_length_c 9.430
_cell_angle_alpha 17.22
_cell_angle_beta 17.22
_cell_angle_gamma 17.22
loop_
_atom_site_label
_atom_site_type_symbol
_atom_site_fract_x
_atom_site_fract_y
_atom_site_fract_z
_atom_site_occupancy
Ta1 Ta 0.000 0.000 0.000 1
Re1 Re 0.247 0.247 0.247 1
Re2 Re 0.753 0.753 0.753 1
Mo1 Mo 0.500 0.500 0.500 1
```

ZrZn11Ir after structural relaxation, computed with PBE.

Summary:
E_tot	-2.57	eV per atom
symmetry	C2/m
spin magnetization	0.00	μB per formula unit
ΔE_f	-156.4	meV/atom

```
data_ZrZn11Ir
_space_group_name_H-M_alt 'P 1'
_space_group_IT_number 1
_space_group_name_Hall 'P 1'
_cell_length_a 6.785
_cell_length_b 6.785
_cell_length_c 6.604
_cell_angle_alpha 97.98
_cell_angle_beta 97.98
_cell_angle_gamma 135.27
loop_
_atom_site_label
_atom_site_type_symbol
_atom_site_fract_x
_atom_site_fract_y
_atom_site_fract_z
_atom_site_occupancy
Zr1 Zr 0.000 0.000 0.000 1
Zn1 Zn 0.000 0.500 0.000 1
Zn2 Zn 0.015 0.668 0.649 1
Zn3 Zn 0.290 0.502 0.791 1
Zn4 Zn 0.332 0.985 0.351 1
Zn5 Zn 0.498 0.710 0.209 1
Zn6 Zn 0.500 0.000 0.000 1
Zn7 Zn 0.500 0.500 0.500 1
Zn8 Zn 0.502 0.290 0.791 1
Zn9 Zn 0.668 0.015 0.649 1
Zn10 Zn 0.710 0.498 0.209 1
Zn11 Zn 0.985 0.332 0.351 1
Ir1 Ir 0.000 0.000 0.500 1
```

Sc2AlHIr after structural relaxation, computed with PBE.

Summary:
E_tot	-6.37	eV per atom
symmetry	P4/mmm
spin magnetization	0.00	μB per formula unit

```
data_Sc2AlHIr
_space_group_name_H-M_alt 'P 1'
_space_group_IT_number 1
_space_group_name_Hall 'P 1'
_cell_length_a 4.442
_cell_length_b 4.442
_cell_length_c 3.753
_cell_angle_alpha 90.00
_cell_angle_beta 90.00
_cell_angle_gamma 90.00
loop_
_atom_site_label
_atom_site_type_symbol
_atom_site_fract_x
_atom_site_fract_y
_atom_site_fract_z
_atom_site_occupancy
Sc1 Sc 0.000 0.500 0.000 1
Sc2 Sc 0.500 0.000 0.000 1
Al1 Al 0.000 0.000 0.500 1
H1 H 0.500 0.500 0.000 1
Ir1 Ir 0.500 0.500 0.500 1
```

YMn2Au2 after structural relaxation, computed with PBE.

Summary:
E_tot	-6.18	eV per atom
symmetry	I4/mmm
polymorph energy (0 for the lowest one)	208	meV per atom
spin magnetization	0.00	μB per formula unit
ΔE_f	89.8	meV/atom

```
data_YMn2Au2
_space_group_name_H-M_alt 'P 1'
_space_group_IT_number 1
_space_group_name_Hall 'P 1'
_cell_length_a 8.801
_cell_length_b 8.801
_cell_length_c 8.801
_cell_angle_alpha 158.81
_cell_angle_beta 158.81
_cell_angle_gamma 30.15
loop_
_atom_site_label
_atom_site_type_symbol
_atom_site_fract_x
_atom_site_fract_y
_atom_site_fract_z
_atom_site_occupancy
Y1 Y 0.000 0.000 0.000 1
Mn1 Mn 0.250 0.750 0.500 1
Mn2 Mn 0.750 0.250 0.500 1
Au1 Au 0.382 0.382 0.000 1
Au2 Au 0.618 0.618 0.000 1
```